[1]
This record from OQMD describes a relaxed Ba3Er2Cl2O5 crystal. The functional is PBE-GGA.

Output
**Electronic total energy**: -6.64 eV per atom
**Calculated volume**: 19.86 A^3/atom
**Space-group type**: I4/mmm

Unit cell a=12.733 b=12.733 c=12.733 alpha=160.13 beta=160.13 gamma=28.24
Element x y z (fractional)
1 Ba 0.000 0.000 0.000
2 Ba 0.163 0.163 0.000
3 Ba 0.837 0.837 0.000
4 Cl 0.294 0.294 0.000
5 Cl 0.706 0.706 0.000
6 Er 0.415 0.415 0.000
7 Er 0.585 0.585 0.000
8 O 0.500 0.500 0.000
9 O 0.597 0.097 0.500
10 O 0.903 0.403 0.500
11 O 0.097 0.597 0.500
12 O 0.403 0.903 0.500

[2]
This record from OQMD describes a relaxed FeNiAsPt crystal. The functional is PBE-GGA.

Output
**Electronic total energy**: -6.19 eV per atom
**Calculated volume**: 13.61 A^3/atom
**Energy above the most stable polymorph in this dataset**: 0.000 eV/atom
**Space-group type**: F-43m

Unit cell a=4.254 b=4.254 c=4.254 alpha=60.00 beta=60.00 gamma=60.00
Element x y z (fractional)
1 As 0.000 0.000 0.000
2 Fe 0.750 0.750 0.750
3 Ni 0.250 0.250 0.250
4 Pt 0.500 0.500 0.500

[3]
This record from OQMD describes a relaxed DyYHg2 crystal. The functional is PBE-GGA.

Output
**Electronic total energy**: -3.20 eV per atom
**Calculated volume**: 25.98 A^3/atom
**ΔE_f**: -280.8 meV per atom
**Energy above the most stable polymorph in this dataset**: 0.216 eV/atom
**Space-group type**: Amm2

Unit cell a=5.190 b=6.794 c=6.794 alpha=60.16 beta=90.00 gamma=90.00
Element x y z (fractional)
1 Dy 0.000 0.326 0.326
2 Dy 0.500 0.692 0.692
3 Hg 0.500 0.165 0.165
4 Hg 0.500 0.672 0.176
5 Hg 0.500 0.176 0.672
6 Hg 0.000 0.826 0.826
7 Y 0.000 0.833 0.310
8 Y 0.000 0.310 0.833

[4]
This record from OQMD describes a relaxed AlGaMo4C2 crystal. The functional is PBE-GGA.

Output
**Electronic total energy**: -8.71 eV per atom
**Calculated volume**: 13.42 A^3/atom
**Space-group type**: P-6m2

Unit cell a=3.046 b=3.046 c=13.362 alpha=90.00 beta=90.00 gamma=120.00
Element x y z (fractional)
1 Al 0.000 0.000 0.500
2 C 0.667 0.333 0.250
3 C 0.667 0.333 0.750
4 Ga 0.333 0.667 0.000
5 Mo 0.000 0.000 0.160
6 Mo 0.333 0.667 0.339
7 Mo 0.333 0.667 0.661
8 Mo 0.000 0.000 0.840